PmNdTh2Bi4: optimized geometry, PBE.

Results
As for the space group: P2/m. The final energy comes out at -46.0 eV per cell. The calculation puts the formation enthalpy at 0 K at -763 meV/atom. The density of states at the Fermi level comes out at 0.600 states/eV/atom.

a = 4.6037 Å, b = 7.9457 Å, c = 7.9675 Å
α = 70.38°, β = 90.00°, γ = 90.00°
Positions (direct):
Bi 0.5000 0.7499 0.2492
Nd 0.0000 0.5000 0.5000
Bi 0.0000 0.2509 0.2489
Bi 0.0000 0.7491 0.7511
Pm 0.5000 0.5000 0.0000
Th 0.5000 0.0000 0.5000
Bi 0.5000 0.2501 0.7508
Th 0.0000 0.0000 0.0000